Here is a relaxed Ba2HgMo crystal from Alexandria via LeMat-Bulk. Energies are from PBE.

Values from the calculation:
space-group type	C2/m
final energy	-3.019	eV per atom

Unit cell a=4.679 b=4.679 c=9.385 alpha=81.21 beta=81.21 gamma=47.40
Atoms (fractional coordinates):
1 Ba 0.998 0.998 0.025
2 Ba 0.502 0.502 0.475
3 Hg 0.750 0.750 0.750
4 Mo 0.250 0.250 0.250